No. 1
A plane-wave DFT calculation with SCAN was carried out for HfCd3W at its PBEsol-relaxed geometry.

Unit cell a=5.0320 b=5.0320 c=5.0320 alpha=90.00 beta=90.00 gamma=90.00
Element x y z (fractional)
W  0.0000  0.0000  0.0000
Hf  0.5000  0.5000  0.5000
Cd  0.0000  0.0000  0.5000
Cd  0.0000  0.5000  0.0000
Cd  0.5000  0.0000  0.0000

Summary:
The formation energy from the elements comes out at 7.95 eV/f.u. As for the volume: 25.48 Å³ per atom. For the total DFT energy (no corrections), the calculation gives -43.13 eV/atom.

***

No. 2
A plane-wave DFT calculation with SCAN was carried out for Na3AsH18Se4O9 at its PBEsol-relaxed geometry.

Unit cell a=11.9492 b=11.9492 c=11.9492 alpha=90.00 beta=90.00 gamma=90.00
Element x y z (fractional)
H  0.4804  0.6970  0.4145
H  0.1602  0.4845  0.7439
H  0.5382  0.3265  0.2381
O  0.6022  0.2459  0.6648
As  0.9602  0.5398  0.4602
H  0.6468  0.0778  0.8729
Na  0.9482  0.0518  0.5518
H  0.6970  0.4145  0.4804
O  0.9725  0.3710  0.9203
H  0.0778  0.8729  0.6468
H  0.5855  0.9804  0.8030
H  0.9804  0.8030  0.5855
H  0.2282  0.2778  0.0473
O  0.9203  0.9725  0.3710
O  0.7459  0.8352  0.3978
H  0.5778  0.6271  0.3532
Se  0.0732  0.4268  0.5732
As  0.0398  0.0398  0.0398
H  0.9145  0.0196  0.3030
O  0.0275  0.8710  0.5797
As  0.4602  0.9602  0.5398
O  0.7541  0.1648  0.8978
O  0.2541  0.3352  0.1022
O  0.5797  0.0275  0.8710
H  0.6602  0.0155  0.2561
H  0.4145  0.4804  0.6970
H  0.0196  0.3030  0.9145
H  0.8398  0.9845  0.7561
H  0.3398  0.5155  0.2439
H  0.2222  0.9527  0.7282
O  0.4725  0.1290  0.0797
O  0.6648  0.6022  0.2459
H  0.6192  0.5627  0.1895
O  0.1860  0.6958  0.9893
H  0.3729  0.8532  0.9222
H  0.1895  0.6192  0.5627
O  0.6859  0.8042  0.0107
O  0.6290  0.4203  0.5275
O  0.3978  0.7459  0.8352
H  0.0155  0.2561  0.6602
H  0.9222  0.3729  0.8532
O  0.2459  0.6648  0.6022
H  0.8532  0.9222  0.3729
H  0.5196  0.1969  0.0855
H  0.4527  0.7718  0.7778
Na  0.5977  0.5977  0.5977
Se  0.1489  0.1528  0.9234
H  0.9845  0.7561  0.8398
H  0.7439  0.1602  0.4845
As  0.5398  0.4602  0.9602
H  0.5627  0.1895  0.6192
H  0.4618  0.8265  0.2619
H  0.9373  0.8105  0.1192
H  0.5473  0.2718  0.7222
O  0.1022  0.2541  0.3352
Na  0.0518  0.5518  0.9482
Se  0.3472  0.0766  0.6489
Na  0.4023  0.0977  0.9023
H  0.6895  0.8808  0.4373
O  0.0107  0.6859  0.8042
H  0.7718  0.7778  0.4527
O  0.8141  0.1958  0.5107
O  0.3352  0.1022  0.2541
H  0.1192  0.9373  0.8105
H  0.3808  0.0627  0.3105
H  0.9618  0.6735  0.7381
O  0.1290  0.0797  0.4725
H  0.0473  0.2282  0.2778
H  0.2718  0.7222  0.5473
H  0.4373  0.6895  0.8808
Na  0.2089  0.7089  0.7911
H  0.5155  0.2439  0.3398
H  0.1969  0.0855  0.5196
O  0.3140  0.3042  0.4893
O  0.3042  0.4893  0.3140
Na  0.0977  0.9023  0.4023
H  0.8808  0.4373  0.6895
H  0.8105  0.1192  0.9373
O  0.1648  0.8978  0.7541
O  0.8352  0.3978  0.7459
Na  0.7911  0.2089  0.7089
H  0.3532  0.5778  0.6271
H  0.4845  0.7439  0.1602
H  0.7282  0.2222  0.9527
H  0.2381  0.5382  0.3265
H  0.7778  0.4527  0.7718
Na  0.4482  0.4482  0.4482
O  0.4893  0.3140  0.3042
O  0.6958  0.9893  0.1860
H  0.7381  0.9618  0.6735
O  0.8042  0.0107  0.6859
H  0.2619  0.4618  0.8265
Se  0.5732  0.0732  0.4268
Na  0.7089  0.7911  0.2089
Na  0.9023  0.4023  0.0977
Se  0.6489  0.3472  0.0766
H  0.7222  0.5473  0.2718
H  0.1735  0.7619  0.0382
Se  0.9268  0.9268  0.9268
O  0.9893  0.1860  0.6958
Na  0.5518  0.9482  0.0518
O  0.4203  0.5275  0.6290
H  0.3265  0.2381  0.5382
H  0.8030  0.5855  0.9804
H  0.1271  0.1468  0.4222
H  0.0855  0.5196  0.1969
H  0.0627  0.3105  0.3808
O  0.8710  0.5797  0.0275
H  0.1468  0.4222  0.1271
H  0.4222  0.1271  0.1468
H  0.9527  0.7282  0.2222
Se  0.0766  0.6489  0.3472
H  0.0382  0.1735  0.7619
H  0.6735  0.7381  0.9618
Se  0.1528  0.9234  0.1489
H  0.8265  0.2619  0.4618
H  0.3030  0.9145  0.0196
O  0.5275  0.6290  0.4203
O  0.3710  0.9203  0.9725
O  0.1958  0.5107  0.8141
Se  0.5766  0.8511  0.6528
Na  0.2911  0.2911  0.2911
H  0.2561  0.6602  0.0155
Se  0.6528  0.5766  0.8511
H  0.7619  0.0382  0.1735
H  0.6271  0.3532  0.5778
O  0.5107  0.8141  0.1958
Se  0.8472  0.4234  0.3511
H  0.2778  0.0473  0.2282
H  0.7561  0.8398  0.9845
Se  0.9234  0.1489  0.1528
H  0.8729  0.6468  0.0778
O  0.8978  0.7541  0.1648
Se  0.4268  0.5732  0.0732
Se  0.8511  0.6528  0.5766
Se  0.3511  0.8472  0.4234
O  0.0797  0.4725  0.1290
Se  0.4234  0.3511  0.8472
H  0.3105  0.3808  0.0627
H  0.2439  0.3398  0.5155

Summary:
As for the volume: 12.19 Å³ per atom. For the total DFT energy (no corrections), the calculation gives -7.62 eV/atom.

***

No. 3
A plane-wave DFT calculation with SCAN was carried out for Ta2SnOs2 at its PBEsol-relaxed geometry.

Unit cell a=4.2567 b=4.2567 c=6.1613 alpha=110.21 beta=110.21 gamma=90.00
Element x y z (fractional)
Ta  0.7500  0.2500  0.5000
Os  0.3822  0.3822  0.7645
Ta  0.2500  0.7500  0.5000
Sn  0.0000  0.0000  0.0000
Os  0.6178  0.6178  0.2355

Summary:
The formation energy from the elements comes out at -0.07 eV/f.u. As for the volume: 19.48 Å³ per atom. For the total DFT energy (no corrections), the calculation gives -62.58 eV/atom.

***

No. 4
A plane-wave DFT calculation with SCAN was carried out for Cd2HgAu at its PBEsol-relaxed geometry.

Unit cell a=2.9108 b=5.0340 c=5.9239 alpha=112.80 beta=90.00 gamma=90.00
Element x y z (fractional)
Hg  0.5000  0.5000  0.0000
Au  0.0000  0.5000  0.5000
Cd  0.5000  0.0000  0.5000
Cd  0.0000  0.0000  0.0000

Summary:
The formation energy from the elements comes out at -0.15 eV/f.u. As for the volume: 20.01 Å³ per atom. The value obtained for the distance to the lowest polymorph of the same formula is 6.78 kJ/mol of atoms. For the total DFT energy (no corrections), the calculation gives -49.57 eV/atom.

***

No. 5
A plane-wave DFT calculation with SCAN was carried out for K2AgSnRh at its PBEsol-relaxed geometry.

Unit cell a=5.2040 b=5.3243 c=5.3243 alpha=90.00 beta=90.00 gamma=90.00
Element x y z (fractional)
K  0.0000  0.0000  0.5000
Sn  0.5000  0.5000  0.5000
K  0.0000  0.5000  0.0000
Ag  0.5000  0.0000  0.0000
Rh  0.0000  0.0000  0.0000

Summary:
The formation energy from the elements comes out at 4.09 eV/f.u. As for the volume: 29.50 Å³ per atom. For the total DFT energy (no corrections), the calculation gives -22.73 eV/atom.

***

No. 6
A plane-wave DFT calculation with SCAN was carried out for CaP3W at its PBEsol-relaxed geometry.

Unit cell a=4.8430 b=4.8430 c=4.8430 alpha=90.00 beta=90.00 gamma=90.00
Site moments in Bohr magnetons follow the coordinates.
Element x y z (fractional)
Ca  0.0000  0.0000  0.0000  0.03
P  0.0000  0.5000  0.0000  -0.12
W  0.5000  0.5000  0.5000  2.94
P  0.5000  0.0000  0.0000  -0.12
P  0.0000  0.0000  0.5000  -0.12

Summary:
The formation energy from the elements comes out at 10.56 eV/f.u. As for the volume: 22.72 Å³ per atom. For the total DFT energy (no corrections), the calculation gives -20.00 eV/atom.

***

No. 7
A plane-wave DFT calculation with SCAN was carried out for AgOsW at its PBEsol-relaxed geometry.

Unit cell a=4.2442 b=4.2442 c=4.2442 alpha=60.00 beta=60.00 gamma=60.00
Element x y z (fractional)
Os  0.5000  0.5000  0.5000
W  0.2500  0.2500  0.2500
Ag  0.0000  0.0000  0.0000

Summary:
The formation energy from the elements comes out at 3.15 eV/f.u. As for the volume: 18.02 Å³ per atom. The value obtained for the distance to the lowest polymorph of the same formula is 0.00 kJ/mol of atoms. For the total DFT energy (no corrections), the calculation gives -56.59 eV/atom.

***

No. 8
A plane-wave DFT calculation with SCAN was carried out for TeAu2 at its PBEsol-relaxed geometry.

Unit cell a=3.9721 b=5.5863 c=6.1955 alpha=90.00 beta=108.70 gamma=90.00
Element x y z (fractional)
Te  0.8347  0.2500  0.6694
Au  0.5017  0.7500  0.0034
Au  0.1586  0.2500  0.3172
Au  0.4983  0.2500  0.9966
Au  0.8414  0.7500  0.6828
Te  0.1653  0.7500  0.3306

Summary:
The value obtained for the uncorrected formation energy is -0.17 eV per formula unit. As for the volume: 21.70 Å³ per atom. For the total DFT energy (no corrections), the calculation gives -58.58 eV/atom.

***

No. 9
A plane-wave DFT calculation with SCAN was carried out for NaHgBr2 at its PBEsol-relaxed geometry.

Unit cell a=5.2240 b=5.2240 c=5.2240 alpha=60.00 beta=60.00 gamma=60.00
Element x y z (fractional)
Br  0.7500  0.7500  0.7500
Br  0.2500  0.2500  0.2500
Na  0.0000  0.0000  0.0000
Hg  0.5000  0.5000  0.5000

Summary:
The value obtained for the uncorrected formation energy is -3.03 eV per formula unit. As for the volume: 25.20 Å³ per atom. For the total DFT energy (no corrections), the calculation gives -28.58 eV/atom.

***

No. 10
A plane-wave DFT calculation with SCAN was carried out for IrRu2Rh at its PBEsol-relaxed geometry.

Unit cell a=2.6734 b=2.6734 c=8.8797 alpha=81.36 beta=81.36 gamma=60.00
Element x y z (fractional)
Ir  0.5000  0.5000  0.5000
Rh  0.0000  0.0000  0.0000
Ru  0.7499  0.7499  0.7504
Ru  0.2502  0.2502  0.2496

Summary:
The formation energy from the elements comes out at 0.07 eV/f.u. As for the volume: 13.53 Å³ per atom. The value obtained for the distance to the lowest polymorph of the same formula is 2.15 kJ/mol of atoms. For the total DFT energy (no corrections), the calculation gives -43.61 eV/atom.

***

No. 11
A plane-wave DFT calculation with SCAN was carried out for Mn2TlIr at its PBEsol-relaxed geometry.

Unit cell a=4.4511 b=4.4402 c=4.4511 alpha=59.92 beta=90.00 gamma=120.08
Site moments in Bohr magnetons follow the coordinates.
Element x y z (fractional)
Tl  0.5000  0.0000  0.5000  -0.10
Mn  0.2500  0.5000  0.2500  3.90
Ir  0.0000  0.0000  0.0000  0.58
Mn  0.7500  0.5000  0.7500  3.90

Summary:
The formation energy from the elements comes out at -0.16 eV/f.u. As for the volume: 15.51 Å³ per atom. For the total DFT energy (no corrections), the calculation gives -45.03 eV/atom.

***

No. 12
A plane-wave DFT calculation with SCAN was carried out for Ta2ReMo at its PBEsol-relaxed geometry.

Unit cell a=4.4980 b=4.4980 c=4.4980 alpha=60.00 beta=60.00 gamma=60.00
Element x y z (fractional)
Ta  0.7500  0.7500  0.7500
Ta  0.2500  0.2500  0.2500
Re  0.0000  0.0000  0.0000
Mo  0.5000  0.5000  0.5000

Summary:
The formation energy from the elements comes out at -1.65 eV/f.u. As for the volume: 16.09 Å³ per atom. The value obtained for the distance to the lowest polymorph of the same formula is 0.00 kJ/mol of atoms. For the total DFT energy (no corrections), the calculation gives -60.20 eV/atom.